Material: Mg3Zn2
Method: DFT, PBEsol
State: relaxed

Energy: -1.66 eV/atom
ΔH_f (0 K): 8 meV per atom
Magnetization: 0.0 μB per formula unit
Distance to the lowest polymorph of the same formula: 41 meV/atom

POSCAR file:
```
Mg3Zn2
1.0
-5.015 1.602 0.858
-3.960 -3.986 0.874
3.766 -0.543 6.453
Mg Zn
6 4
direct
0.916 0.000 0.000
0.166 0.500 0.500
0.469 0.097 0.206
0.816 0.403 0.706
0.359 0.903 0.794
0.513 0.597 0.294
0.357 0.448 0.907
0.700 0.948 0.593
0.898 0.552 0.093
0.055 0.052 0.407
```

***

Material: Mg3Zn
Method: DFT, PBEsol
State: relaxed

Energy: -1.70 eV/atom
ΔH_f (0 K): -17 meV per atom
Magnetization: 0.0 μB per formula unit

POSCAR file:
```
Mg3Zn
1.0
4.734 0.000 0.000
-2.367 4.100 0.000
0.000 0.000 8.325
Mg Zn
6 2
direct
0.000 0.000 0.750
0.000 0.000 0.250
0.667 0.333 0.577
0.333 0.667 0.423
0.667 0.333 0.923
0.333 0.667 0.077
0.333 0.667 0.750
0.667 0.333 0.250
```

***

Material: MgZn
Method: DFT, PBEsol
State: relaxed

Energy: -1.69 eV/atom
ΔH_f (0 K): -42 meV per atom
Magnetization: 0.0 μB per formula unit

POSCAR file:
```
MgZn
1.0
5.564 0.000 0.000
0.000 7.895 0.000
0.000 0.000 9.732
Zn Mg
12 12
direct
0.000 0.750 0.934
0.750 0.100 0.878
0.750 0.600 0.122
0.000 0.250 0.066
0.250 0.455 0.434
0.250 0.900 0.122
0.750 0.045 0.434
0.250 0.400 0.878
0.500 0.750 0.934
0.750 0.545 0.566
0.500 0.250 0.066
0.250 0.955 0.566
0.250 0.034 0.847
0.500 0.750 0.375
0.750 0.966 0.153
0.000 0.250 0.625
0.000 0.750 0.375
0.250 0.638 0.679
0.750 0.362 0.321
0.500 0.250 0.625
0.250 0.534 0.153
0.250 0.138 0.321
0.750 0.466 0.847
0.750 0.862 0.679
```

***

Material: MgZn
Method: DFT, PBEsol
State: relaxed

Energy: -1.64 eV/atom
ΔH_f (0 K): 10 meV per atom
Magnetization: 0.0 μB per formula unit

POSCAR file:
```
MgZn
1.0
-1.910 0.377 2.312
1.158 -2.732 -0.573
3.465 0.899 2.716
Zn Mg
1 1
direct
0.333 0.667 0.000
0.000 0.000 0.500
```

***

Material: MgZn5
Method: DFT, PBEsol
State: relaxed

Energy: -1.60 eV/atom
ΔH_f (0 K): 7 meV per atom
Magnetization: 0.0 μB per formula unit

POSCAR file:
```
MgZn5
1.0
2.810 0.000 0.000
0.000 2.810 0.000
0.000 0.000 11.518
Zn Mg
5 1
direct
0.500 0.500 0.840
0.500 0.500 0.160
0.000 0.000 0.000
0.000 0.000 0.317
0.000 0.000 0.683
0.500 0.500 0.500
```

***

Material: Mg3Zn2
Method: DFT, PBEsol
State: relaxed

Energy: -1.70 eV/atom
ΔH_f (0 K): -33 meV per atom
Magnetization: 0.0 μB per formula unit
Distance to the lowest polymorph of the same formula: 0 meV/atom

POSCAR file:
```
Mg3Zn2
1.0
4.546 0.000 0.000
-2.273 3.937 0.000
0.000 0.000 5.458
Zn Mg
2 3
direct
0.667 0.333 0.141
0.333 0.667 0.859
0.333 0.667 0.355
0.000 0.000 0.000
0.667 0.333 0.645
```

***

Material: Mg3Zn
Method: DFT, PBEsol
State: relaxed

Energy: -1.64 eV/atom
ΔH_f (0 K): 44 meV per atom
Magnetization: 0.0 μB per formula unit

POSCAR file:
```
Mg3Zn
1.0
-0.279 2.697 -1.310
-3.968 0.393 3.959
5.342 0.268 1.722
Mg Zn
3 1
direct
0.500 0.000 0.500
0.500 0.500 0.000
0.000 0.500 0.500
0.000 0.000 0.000
```

***

Material: Mg3Zn
Method: DFT, PBEsol
State: relaxed

Energy: -1.66 eV/atom
ΔH_f (0 K): 19 meV per atom
Magnetization: 0.0 μB per formula unit

POSCAR file:
```
Mg3Zn
1.0
-0.039 -4.791 0.354
2.928 -2.203 3.106
-1.804 -2.104 3.924
Mg Zn
3 1
direct
0.250 0.250 0.250
0.750 0.750 0.750
0.500 0.500 0.500
0.000 0.000 0.000
```

***

Material: MgZn
Method: DFT, PBEsol
State: relaxed

Energy: -1.60 eV/atom
ΔH_f (0 K): 53 meV per atom
Magnetization: 0.0 μB per formula unit

POSCAR file:
```
MgZn
1.0
-4.061 -1.060 -1.353
1.996 -2.425 3.095
-1.866 2.807 3.402
Mg Zn
2 2
direct
0.667 0.333 0.750
0.333 0.667 0.250
0.000 0.000 0.000
0.000 0.000 0.500
```

***

Material: Mg3Zn
Method: DFT, PBEsol
State: relaxed

Energy: -1.69 eV/atom
ΔH_f (0 K): -7 meV per atom
Magnetization: 0.0 μB per formula unit

POSCAR file:
```
Mg3Zn
1.0
4.284 0.000 0.000
0.000 4.284 0.000
0.000 0.000 4.284
Mg Zn
3 1
direct
0.500 0.500 0.000
0.500 0.000 0.500
0.000 0.500 0.500
0.000 0.000 0.000
```

***

Material: MgZn
Method: DFT, PBEsol
State: relaxed

Energy: -1.74 eV/atom
ΔH_f (0 K): -91 meV per atom
Magnetization: 0.0 μB per formula unit

POSCAR file:
```
MgZn
1.0
3.162 0.000 0.000
0.000 4.305 0.000
-1.581 0.000 5.179
Mg Zn
2 2
direct
0.162 0.750 0.325
0.838 0.250 0.675
0.433 0.750 0.866
0.567 0.250 0.134
```

***

Material: Mg2ZrZn
Method: DFT, PBEsol
State: relaxed

Energy: -3.53 eV/atom
ΔH_f (0 K): -2 meV per atom
Magnetization: 0.0 μB per formula unit

POSCAR file:
```
Mg2ZrZn
1.0
-1.082 2.609 -1.279
0.815 -1.844 -4.451
-4.615 -2.373 2.821
Mg Zn Zr
2 1 1
direct
0.225 0.225 0.450
0.775 0.775 0.550
0.500 0.000 0.000
0.000 0.500 0.000
```

***

Material: Mg2ZrZn
Method: DFT, PBEsol
State: relaxed

Energy: -3.63 eV/atom
ΔH_f (0 K): -107 meV per atom
Magnetization: 0.0 μB per formula unit

POSCAR file:
```
Mg2ZrZn
1.0
-2.485 1.843 -0.258
-0.934 -1.607 -2.487
-4.240 -5.038 4.847
Zn Zr Mg
1 1 2
direct
0.000 0.000 0.497
0.500 0.500 0.719
0.000 0.000 0.002
0.500 0.500 0.282
```